Entry 1:
Compound: Gd3In2SnIrPt2
Source: OQMD via LeMat-Bulk
Functional: PBE-GGA
Structure: relaxed

It has space group Amm2 (No. 38), with a = 3.919 Å, b = 13.313 Å, c = 7.628 Å, α = 90.00°, β = 90.00° and γ = 90.00°. The distinct sites, in fractional coordinates, are Gd at (0.000, 0.000, 0.000), Gd at (0.000, 0.203, 0.394), In at (0.500, 0.129, 0.725), Sn at (0.500, 0.000, 0.340), Ir at (0.000, 0.000, 0.590) and Pt at (0.500, 0.166, 0.098).

For the total energy, the calculation gives -5.88 eV per atom.



Entry 2:
Compound: Nd3Zn8Cd3
Source: OQMD via LeMat-Bulk
Functional: PBE-GGA
Structure: relaxed

It has space group Immm (No. 71), with a = 4.534 Å, b = 9.122 Å, c = 13.720 Å, α = 90.00°, β = 90.00° and γ = 90.00°. The distinct sites, in fractional coordinates, are Nd at (0.000, 0.000, 0.000), Nd at (0.000, 0.000, 0.297), Zn at (0.000, 0.271, 0.148), Zn at (0.000, 0.365, 0.335), Cd at (0.000, 0.205, 0.500) and Cd at (0.000, 0.500, 0.000).

The value obtained for the formation energy is -31.7 kJ/mol of atoms.



Entry 3:
Compound: Tl5Au4
Source: OQMD via LeMat-Bulk
Functional: PBE-GGA
Structure: relaxed

It has space group P4_12_12 (No. 92), with a = 7.905 Å, b = 7.905 Å, c = 14.089 Å, α = 90.00°, β = 90.00° and γ = 90.00°. The distinct sites, in fractional coordinates, are Tl at (0.001, 0.336, 0.029), Tl at (0.003, 0.144, 0.628), Tl at (0.174, 0.826, 0.750), Au at (0.039, 0.686, 0.935) and Au at (0.145, 0.209, 0.830).

For the total energy, the calculation gives -2.77 eV per atom.



Entry 4:
Compound: TaNbGaCo
Source: OQMD via LeMat-Bulk
Functional: PBE-GGA
Structure: relaxed

It has space group F-43m (No. 216), with a = 6.295 Å, b = 6.295 Å, c = 6.295 Å, α = 90.00°, β = 90.00° and γ = 90.00°. The distinct sites, in fractional coordinates, are Ta at (0.000, 0.000, 0.000), Nb at (0.250, 0.250, 0.250), Ga at (0.000, 0.000, 0.500) and Co at (0.250, 0.250, 0.750).

For the total energy, the calculation gives -7.92 eV per atom.



Entry 5:
Compound: BeZnB4
Source: OQMD via LeMat-Bulk
Functional: PBE-GGA
Structure: relaxed

It has space group P6/mmm (No. 191), with a = 2.9775 Å, b = 2.9775 Å, c = 6.3605 Å, α = 90.00°, β = 90.00° and γ = 120.00°. The distinct sites, in fractional coordinates, are Be at (0.0000, 0.0000, 0.0000), Zn at (0.0000, 0.0000, 0.5000) and B at (0.3333, 0.6667, 0.2152).

For the total energy, the calculation gives -5.09 eV per atom.



Entry 6:
Compound: HoAlO3
Source: OQMD via LeMat-Bulk
Functional: PBE-GGA
Structure: relaxed

It has space group Pnma (No. 62), with a = 5.345 Å, b = 8.324 Å, c = 5.350 Å, α = 90.00°, β = 90.00° and γ = 90.00°. The distinct sites, in fractional coordinates, are Ho at (0.000, 0.000, 0.000), Al at (0.014, 0.250, 0.470), O at (0.143, 0.090, 0.641) and O at (0.189, 0.250, 0.162).

For the total energy, the calculation gives -7.73 eV per atom.



Entry 7:
Compound: NaTmGaSe3
Source: OQMD via LeMat-Bulk
Functional: PBE-GGA
Structure: relaxed

It has space group Pnma (No. 62), with a = 10.744 Å, b = 4.478 Å, c = 13.250 Å, α = 90.00°, β = 90.00° and γ = 90.00°. The distinct sites, in fractional coordinates, are Na at (0.216, 0.250, 0.002), Tm at (0.016, 0.750, 0.741), Ga at (0.235, 0.750, 0.240), Se at (0.047, 0.750, 0.124), Se at (0.088, 0.250, 0.614) and Se at (0.238, 0.250, 0.329).

For the total energy, the calculation gives -4.32 eV per atom.



Entry 8:
Compound: ScCdPO
Source: OQMD via LeMat-Bulk
Functional: PBE-GGA
Structure: relaxed

It has space group Pmc2_1 (No. 26), with a = 4.088 Å, b = 6.305 Å, c = 5.804 Å, α = 90.00°, β = 90.00° and γ = 90.00°. The distinct sites, in fractional coordinates, are Sc at (0.000, 0.205, 0.000), Cd at (0.500, 0.367, 0.593), P at (0.000, 0.200, 0.453) and O at (0.500, 0.281, 0.983).

For the total energy, the calculation gives -5.74 eV per atom.



Entry 9:
Compound: BeCdFeGe
Source: OQMD via LeMat-Bulk
Functional: PBE-GGA
Structure: relaxed

It has space group F-43m (No. 216), with a = 6.102 Å, b = 6.102 Å, c = 6.102 Å, α = 90.00°, β = 90.00° and γ = 90.00°. The distinct sites, in fractional coordinates, are Be at (0.000, 0.000, 0.000), Cd at (0.250, 0.250, 0.750), Fe at (0.000, 0.000, 0.500) and Ge at (0.250, 0.250, 0.250).

For the total energy, the calculation gives -3.90 eV per atom.



Entry 10:
Compound: Hf2AlPd
Source: OQMD via LeMat-Bulk
Functional: PBE-GGA
Structure: relaxed

It has space group F-43m (No. 216), with a = 6.658 Å, b = 6.658 Å, c = 6.658 Å, α = 90.00°, β = 90.00° and γ = 90.00°. The distinct sites, in fractional coordinates, are Hf at (0.000, 0.000, 0.000), Hf at (0.250, 0.250, 0.250), Al at (0.000, 0.000, 0.500) and Pd at (0.250, 0.250, 0.750).

For the total energy, the calculation gives -7.34 eV per atom.



Entry 11:
Compound: KNbAs
Source: OQMD via LeMat-Bulk
Functional: PBE-GGA
Structure: relaxed

It has space group F-43m (No. 216), with a = 6.963 Å, b = 6.963 Å, c = 6.963 Å, α = 90.00°, β = 90.00° and γ = 90.00°. The distinct sites, in fractional coordinates, are K at (0.000, 0.000, 0.000), Nb at (0.250, 0.250, 0.250) and As at (0.250, 0.250, 0.750).

For the total energy, the calculation gives -3.75 eV per atom.



Entry 12:
Compound: PuSbMo
Source: OQMD via LeMat-Bulk
Functional: PBE-GGA
Structure: relaxed

It has space group F-43m (No. 216), with a = 6.590 Å, b = 6.590 Å, c = 6.590 Å, α = 90.00°, β = 90.00° and γ = 90.00°. The distinct sites, in fractional coordinates, are Pu at (0.000, 0.000, 0.000), Sb at (0.000, 0.000, 0.500) and Mo at (0.250, 0.250, 0.250).

For the total energy, the calculation gives -9.56 eV per atom.



Entry 13:
Compound: KBaHoS3
Source: OQMD via LeMat-Bulk
Functional: PBE-GGA
Structure: relaxed

It has space group C2/m (No. 12), with a = 17.915 Å, b = 4.162 Å, c = 10.424 Å, α = 90.00°, β = 106.09° and γ = 90.00°. The distinct sites, in fractional coordinates, are K at (0.144, 0.000, 0.081), Ba at (0.007, 0.500, 0.720), Ho at (0.178, 0.000, 0.582), S at (0.000, 0.000, 0.500), S at (0.000, 0.500, 0.000), S at (0.170, 0.500, 0.395) and S at (0.180, 0.500, 0.752).

For the total energy, the calculation gives -5.11 eV per atom.



Entry 14:
Compound: ReSiB4
Source: OQMD via LeMat-Bulk
Functional: PBE-GGA
Structure: relaxed

It has space group P6/mmm (No. 191), with a = 2.9894 Å, b = 2.9894 Å, c = 6.8060 Å, α = 90.00°, β = 90.00° and γ = 120.00°. The distinct sites, in fractional coordinates, are Re at (0.0000, 0.0000, 0.0000), Si at (0.0000, 0.0000, 0.5000) and B at (0.3333, 0.6667, 0.2524).

For the total energy, the calculation gives -7.07 eV per atom.



Entry 15:
Compound: CoMo2
Source: OQMD via LeMat-Bulk
Functional: PBE-GGA
Structure: relaxed

It has space group Fd-3m (No. 227, origin choice 2), with a = 10.380 Å, b = 10.380 Å, c = 10.380 Å, α = 90.00°, β = 90.00° and γ = 90.00°. The distinct sites, in fractional coordinates, are Co at (0.125, 0.125, 0.125) and Mo at (0.000, 0.000, 0.000).

The value obtained for the formation energy is 320.6 kJ/mol of atoms.



Entry 16:
Compound: CsKCuAs
Source: OQMD via LeMat-Bulk
Functional: PBE-GGA
Structure: relaxed

It has space group Ama2 (No. 40), with a = 6.375 Å, b = 7.640 Å, c = 10.712 Å, α = 90.00°, β = 90.00° and γ = 90.00°. The distinct sites, in fractional coordinates, are Cs at (0.250, 0.156, 0.000), K at (0.250, 0.159, 0.666), Cu at (0.000, 0.000, 0.327) and As at (0.250, 0.226, 0.339).

For the total energy, the calculation gives -2.89 eV per atom.



Entry 17:
Compound: Dy3Pd4Pb
Source: OQMD via LeMat-Bulk
Functional: PBE-GGA
Structure: relaxed

It has space group Pm (No. 6), with a = 5.579 Å, b = 4.512 Å, c = 6.929 Å, α = 90.00°, β = 91.87° and γ = 90.00°. The distinct sites, in fractional coordinates, are Dy at (0.000, 0.000, 0.000), Dy at (0.234, 0.000, 0.506), Dy at (0.727, 0.500, 0.361), Pd at (0.024, 0.500, 0.724), Pd at (0.209, 0.500, 0.224), Pd at (0.513, 0.000, 0.141), Pd at (0.726, 0.000, 0.631) and Pb at (0.515, 0.500, 0.860).

For the total energy, the calculation gives -5.57 eV per atom.



Entry 18:
Compound: Lu2TlHg
Source: OQMD via LeMat-Bulk
Functional: PBE-GGA
Structure: relaxed

It has space group F-43m (No. 216), with a = 7.505 Å, b = 7.505 Å, c = 7.505 Å, α = 90.00°, β = 90.00° and γ = 90.00°. The distinct sites, in fractional coordinates, are Lu at (0.000, 0.000, 0.000), Lu at (0.250, 0.250, 0.250), Tl at (0.000, 0.000, 0.500) and Hg at (0.250, 0.250, 0.750).

For the total energy, the calculation gives -2.86 eV per atom.



Entry 19:
Compound: BaCdNO
Source: OQMD via LeMat-Bulk
Functional: PBE-GGA
Structure: relaxed

It has space group Pmc2_1 (No. 26), with a = 3.967 Å, b = 6.249 Å, c = 6.167 Å, α = 90.00°, β = 90.00° and γ = 90.00°. The distinct sites, in fractional coordinates, are Ba at (0.000, 0.188, 0.000), Cd at (0.500, 0.273, 0.488), N at (0.000, 0.389, 0.456) and O at (0.500, 0.017, 0.747).

For the total energy, the calculation gives -4.62 eV per atom.



Entry 20:
Compound: TbYSn2Pt4
Source: OQMD via LeMat-Bulk
Functional: PBE-GGA
Structure: relaxed

It has space group P-6m2 (No. 187), with a = 4.5704 Å, b = 4.5704 Å, c = 9.0828 Å, α = 90.00°, β = 90.00° and γ = 120.00°. The distinct sites, in fractional coordinates, are Tb at (0.0000, 0.0000, 0.0000), Y at (0.6667, 0.3333, 0.5000), Sn at (0.3333, 0.6667, 0.2508), Pt at (0.0000, 0.0000, 0.3391) and Pt at (0.6667, 0.3333, 0.1604).

For the total energy, the calculation gives -6.42 eV per atom.



Entry 21:
Compound: BaMg2AgAu
Source: OQMD via LeMat-Bulk
Functional: PBE-GGA
Structure: relaxed

It has space group I4mm (No. 107), with a = 4.548 Å, b = 4.548 Å, c = 12.719 Å, α = 90.00°, β = 90.00° and γ = 90.00°. The distinct sites, in fractional coordinates, are Ba at (0.000, 0.000, 0.000), Mg at (0.000, 0.500, 0.255), Ag at (0.000, 0.000, 0.619) and Au at (0.000, 0.000, 0.383).

For the total energy, the calculation gives -2.66 eV per atom.



Entry 22:
Compound: SrPtNO
Source: OQMD via LeMat-Bulk
Functional: PBE-GGA
Structure: relaxed

It has space group P4/nmm (No. 129, origin choice 2), with a = 5.079 Å, b = 5.079 Å, c = 4.582 Å, α = 90.00°, β = 90.00° and γ = 90.00°. The distinct sites, in fractional coordinates, are Sr at (0.250, 0.750, 0.000), Pt at (0.250, 0.250, 0.488), N at (0.250, 0.250, 0.040) and O at (0.250, 0.750, 0.500).

For the total energy, the calculation gives -5.37 eV per atom.



Entry 23:
Compound: SrAlGaAg2
Source: OQMD via LeMat-Bulk
Functional: PBE-GGA
Structure: relaxed

It has space group P4/nmm (No. 129, origin choice 2), with a = 4.597 Å, b = 4.597 Å, c = 10.679 Å, α = 90.00°, β = 90.00° and γ = 90.00°. The distinct sites, in fractional coordinates, are Sr at (0.250, 0.250, 0.248), Al at (0.250, 0.250, 0.622), Ga at (0.250, 0.750, 0.000), Ag at (0.250, 0.250, 0.865) and Ag at (0.250, 0.750, 0.500).

For the total energy, the calculation gives -3.10 eV per atom.